1.
BeAgP2: optimized geometry, GGA-PBE.

- E_tot (eV per atom) = -4.1582
- formation enthalpy at 0 K (kJ per mole of atoms) = 18.4

Cell and atoms, written as POSCAR:
```
BeAgP2
1.0
-0.623 -1.527 -4.089
-3.794 -1.853 1.270
-5.594 4.111 -3.060
P Be Ag
4 2 2
Direct
0.875 0.762 0.750
0.375 0.488 0.750
0.238 0.625 0.250
0.512 0.125 0.250
0.250 0.750 0.500
0.500 0.500 0.000
0.750 0.250 0.500
0.000 0.000 0.000
```

2.
BeAgP2: optimized geometry, GGA-PBE.

- E_tot (eV per atom) = -3.8701
- formation enthalpy at 0 K (kJ per mole of atoms) = 46.2

Cell and atoms, written as POSCAR:
```
BeAgP2
1.0
-0.252 -6.245 -7.299
-0.304 -8.081 -5.191
-2.683 -6.926 -6.097
P Be Ag
2 1 1
Direct
0.235 0.235 0.235
0.028 0.028 0.028
0.750 0.750 0.750
0.488 0.488 0.488
```

3.
BeAgP2: optimized geometry, GGA-PBE.

- E_tot (eV per atom) = -3.9106
- formation enthalpy at 0 K (kJ per mole of atoms) = 42.3

Cell and atoms, written as POSCAR:
```
BeAgP2
1.0
-1.845 -0.817 -1.721
2.346 -0.209 -2.415
1.243 -6.544 1.774
Ag P Be
1 2 1
Direct
0.000 0.000 0.522
0.000 0.000 0.907
0.500 0.500 0.275
0.500 0.500 0.796
```

4.
BeAgP: optimized geometry, GGA-PBE.

- E_tot (eV per atom) = -4.0416
- formation enthalpy at 0 K (kJ per mole of atoms) = -4.4

Cell and atoms, written as POSCAR:
```
BeAgP
1.0
-0.548 3.633 0.316
-3.790 -2.288 -1.662
-3.495 -0.984 5.258
Be Ag P
2 2 2
Direct
0.341 0.900 0.755
0.841 0.900 0.255
0.551 0.326 0.019
0.051 0.326 0.519
0.346 0.910 0.420
0.846 0.910 0.920
```

5.
BeAgP: optimized geometry, GGA-PBE.

- E_tot (eV per atom) = -3.9842
- formation enthalpy at 0 K (kJ per mole of atoms) = 1.1

Cell and atoms, written as POSCAR:
```
BeAgP
1.0
-0.700 3.261 1.473
-2.745 -2.123 -1.119
-0.367 -3.369 7.287
Ag P Be
2 2 2
Direct
0.000 0.000 0.500
0.000 0.000 0.000
0.667 0.333 0.250
0.333 0.667 0.750
0.333 0.667 0.250
0.667 0.333 0.750
```

6.
BeAgP2: optimized geometry, GGA-PBE.

- E_tot (eV per atom) = -4.1565
- formation enthalpy at 0 K (kJ per mole of atoms) = 18.6

Cell and atoms, written as POSCAR:
```
BeAgP2
1.0
3.869 0.002 0.001
2.953 2.499 0.001
0.719 0.264 6.699
Ag P Be
1 2 1
Direct
0.579 0.579 0.498
0.844 0.844 0.749
0.904 0.904 0.062
0.173 0.173 0.191
```

7.
BeAgP: optimized geometry, GGA-PBE.

- E_tot (eV per atom) = -4.0465
- formation enthalpy at 0 K (kJ per mole of atoms) = -4.9

Cell and atoms, written as POSCAR:
```
BeAgP
1.0
3.979 0.000 0.000
0.001 7.247 -0.042
0.000 1.953 3.191
Ag Be P
2 2 2
Direct
0.128 0.444 0.313
0.628 0.313 0.945
0.129 0.879 0.731
0.629 0.879 0.227
0.628 0.694 0.906
0.128 0.064 0.039
```

8.
BeAgP: optimized geometry, GGA-PBE.

- E_tot (eV per atom) = -4.0433
- formation enthalpy at 0 K (kJ per mole of atoms) = -4.6

Cell and atoms, written as POSCAR:
```
BeAgP
1.0
3.681 -0.022 0.008
-1.788 4.410 -0.007
1.780 -2.610 6.144
Ag P Be
2 2 2
Direct
0.093 0.849 0.173
0.583 0.238 0.584
0.397 0.308 0.040
0.873 0.776 0.555
0.885 0.128 0.883
0.367 0.590 0.382
```